Record 1
Compound: Bi6Pd3Au
Source: Alexandria
Functional: PBE
Structure: relaxed

It has space group Cmc2_1 (No. 36), with a = 10.4807 Å, b = 14.0857 Å, c = 7.2610 Å, α = 90.00°, β = 90.00° and γ = 90.00°. Symmetry generates all atoms from Bi at (0.0000, 0.0004, 0.0000), Bi at (0.0000, 0.2405, 0.3888), Bi at (0.1690, 0.4795, 0.4515), Bi at (0.1703, 0.2743, 0.9878), Pd at (0.0000, 0.4054, 0.1675), Pd at (0.1799, 0.1107, 0.2350) and Au at (0.0000, 0.1678, 0.7561).

For the density, the calculation gives 10.97 g/cm³. As for the total energy: -174.46 eV per cell. The value obtained for the formation energy is -147 meV per atom.



Record 2
Compound: Bi2Pd6Au
Source: Alexandria
Functional: PBE
Structure: relaxed

It has space group C2/m (No. 12), with a = 9.7299 Å, b = 5.5267 Å, c = 6.6046 Å, α = 90.00°, β = 102.65° and γ = 90.00°. Symmetry generates all atoms from Bi at (0.1612, 0.0000, 0.1931), Pd at (0.0804, 0.2426, 0.6974), Pd at (0.1873, 0.5000, 0.3925) and Au at (0.0000, 0.5000, 0.0000).

For the density, the calculation gives 12.01 g/cm³. As for the total energy: -86.17 eV per cell. The excess energy over the best structure of this formula in the dataset comes out at 0.118 eV/atom. The value obtained for the formation energy is -99 meV per atom.



Record 3
Compound: Bi2Pd8Au3
Source: Alexandria
Functional: PBE
Structure: relaxed

It has space group P-1 (No. 2), with a = 4.8793 Å, b = 6.5747 Å, c = 7.6933 Å, α = 82.30°, β = 77.18° and γ = 82.66°. Symmetry generates all atoms from Bi at (0.1535, 0.2282, 0.1972), Pd at (0.0619, 0.3536, 0.8555), Pd at (0.2110, 0.0701, 0.5751), Pd at (0.2884, 0.9245, 0.9271), Pd at (0.4269, 0.6425, 0.6436), Au at (0.0000, 0.5000, 0.5000) and Au at (0.3712, 0.7765, 0.2840).

For the density, the calculation gives 13.02 g/cm³. As for the total energy: -60.78 eV per cell. The excess energy over the best structure of this formula in the dataset comes out at 0.000 eV/atom. The value obtained for the formation energy is -126 meV per atom.



Record 4
Compound: Bi2PdAu
Source: Alexandria
Functional: PBE
Structure: relaxed

It has space group P4/mmm (No. 123), with a = 5.0785 Å, b = 5.0785 Å, c = 3.5586 Å, α = 90.00°, β = 90.00° and γ = 90.00°. Symmetry generates all atoms from Bi at (0.0000, 0.5000, 0.0000), Pd at (0.0000, 0.0000, 0.5000) and Au at (0.5000, 0.5000, 0.5000).

For the density, the calculation gives 13.05 g/cm³. As for the total energy: -16.60 eV per cell. The value obtained for the formation energy is -91 meV per atom.



Record 5
Compound: Bi5Pd2Au2
Source: Alexandria
Functional: PBE
Structure: relaxed

It has space group Ima2 (No. 46), with a = 16.7792 Å, b = 7.5981 Å, c = 7.2316 Å, α = 90.00°, β = 90.00° and γ = 90.00°. Symmetry generates all atoms from Bi at (0.0791, 0.1560, 0.0000), Bi at (0.1508, 0.7038, 0.1528), Bi at (0.2500, 0.1217, 0.3187), Pd at (0.0861, 0.5059, 0.8511), Au at (0.0000, 0.0000, 0.6849) and Au at (0.2500, 0.0050, 0.9252).

For the density, the calculation gives 11.90 g/cm³. As for the total energy: -149.45 eV per cell. The value obtained for the formation energy is -113 meV per atom.



Record 6
Compound: Bi4Pd5Au
Source: Alexandria
Functional: PBE
Structure: relaxed

It has space group P1 (No. 1), with a = 5.6510 Å, b = 5.7107 Å, c = 7.4821 Å, α = 71.91°, β = 81.24° and γ = 87.44°. Symmetry generates all atoms from Bi at (0.0000, 0.0000, 0.0000), Bi at (0.0795, 0.2512, 0.4273), Bi at (0.4504, 0.4227, 0.0050), Bi at (0.5863, 0.6870, 0.4338), Pd at (0.1044, 0.7873, 0.3745), Pd at (0.1894, 0.4129, 0.7221), Pd at (0.3336, 0.9107, 0.6948), Pd at (0.5002, 0.8866, 0.0523), Pd at (0.6817, 0.2464, 0.7000) and Au at (0.8339, 0.7441, 0.7500).

For the density, the calculation gives 11.46 g/cm³. As for the total energy: -46.65 eV per cell. The excess energy over the best structure of this formula in the dataset comes out at 0.003 eV/atom. The value obtained for the formation energy is -188 meV per atom.



What did the sixth record say?
Compound: Bi4Pd5Au
Source: Alexandria
Functional: PBE
Structure: relaxed

It has space group P1 (No. 1), with a = 5.6510 Å, b = 5.7107 Å, c = 7.4821 Å, α = 71.91°, β = 81.24° and γ = 87.44°. Symmetry generates all atoms from Bi at (0.0000, 0.0000, 0.0000), Bi at (0.0795, 0.2512, 0.4273), Bi at (0.4504, 0.4227, 0.0050), Bi at (0.5863, 0.6870, 0.4338), Pd at (0.1044, 0.7873, 0.3745), Pd at (0.1894, 0.4129, 0.7221), Pd at (0.3336, 0.9107, 0.6948), Pd at (0.5002, 0.8866, 0.0523), Pd at (0.6817, 0.2464, 0.7000) and Au at (0.8339, 0.7441, 0.7500).

For the density, the calculation gives 11.46 g/cm³. As for the total energy: -46.65 eV per cell. The excess energy over the best structure of this formula in the dataset comes out at 0.003 eV/atom. The value obtained for the formation energy is -188 meV per atom.



total energy of number 2 (Bi2Pd6Au)?
-86.17 eV per cell